Record 1
## BaSbW (PBE)

Data for a geometry-optimized BaSbW structure.

- SG: F-43m, No. 216
- Magnetic moment: 17.50 μB per cell

abc: 7.710 7.710 7.710
angles: 90.00 90.00 90.00
Element x y z (fractional)
Ba 0.000 0.000 0.000
Ba 0.000 0.500 0.500
Ba 0.500 0.000 0.500
Ba 0.500 0.500 0.000
Sb 0.250 0.250 0.250
Sb 0.250 0.750 0.750
Sb 0.750 0.250 0.750
Sb 0.750 0.750 0.250
W 0.250 0.250 0.750
W 0.250 0.750 0.250
W 0.750 0.250 0.250
W 0.750 0.750 0.750


Record 2
## BaSb2W (PBE)

Data for a geometry-optimized BaSb2W structure.

- SG: P4mm, No. 99
- Magnetic moment: 0.01 μB per cell

abc: 3.729 3.729 8.038
angles: 90.00 90.00 90.00
Element x y z (fractional)
Ba 0.000 0.000 0.000
Sb 0.000 0.000 0.560
Sb 0.500 0.500 0.308
W 0.500 0.500 0.660


Record 3
## BaSb2W (PBE)

Data for a geometry-optimized BaSb2W structure.

- SG: R3m, No. 160
- Magnetic moment: 0.00 μB per cell

abc: 3.518 3.518 30.568
angles: 90.00 90.00 120.00
Element x y z (fractional)
Ba 0.000 0.000 0.000
Ba 0.333 0.667 0.667
Ba 0.667 0.333 0.333
Sb 0.000 0.000 0.236
Sb 0.000 0.000 0.481
Sb 0.333 0.667 0.148
Sb 0.333 0.667 0.903
Sb 0.667 0.333 0.569
Sb 0.667 0.333 0.814
W 0.000 0.000 0.755
W 0.333 0.667 0.422
W 0.667 0.333 0.088


Record 4
## BaSbW (PBE)

Data for a geometry-optimized BaSbW structure.

- SG: P-6m2, No. 187
- Magnetic moment: 0.00 μB per cell

abc: 4.654 4.654 5.064
angles: 90.00 90.00 120.00
Element x y z (fractional)
Ba 0.000 0.000 0.000
Sb 0.667 0.333 0.500
W 0.333 0.667 0.500


Record 5
## BaSb2W (PBE)

Data for a geometry-optimized BaSb2W structure.

- SG: Cm, No. 8
- Magnetic moment: 0.79 μB per cell

abc: 7.355 4.048 8.280
angles: 90.00 107.82 90.00
Element x y z (fractional)
Ba 0.000 0.000 0.000
Ba 0.500 0.500 0.000
Sb 0.211 0.000 0.674
Sb 0.432 0.000 0.306
Sb 0.711 0.500 0.674
Sb 0.932 0.500 0.306
W 0.318 0.500 0.484
W 0.818 0.000 0.484


Record 6
## Ba2SbW (PBE)

Data for a geometry-optimized Ba2SbW structure.

- SG: Amm2, No. 38
- Magnetic moment: 2.62 μB per cell

abc: 4.732 5.077 12.300
angles: 90.00 90.00 90.00
Element x y z (fractional)
Ba 0.000 0.000 0.000
Ba 0.000 0.500 0.500
Ba 0.500 0.000 0.286
Ba 0.500 0.500 0.786
Sb 0.000 0.000 0.699
Sb 0.000 0.500 0.199
W 0.500 0.000 0.591
W 0.500 0.500 0.091


Record 7
## Ba2YSb2 (PBE)

Data for a geometry-optimized Ba2YSb2 structure.

- SG: Ibam, No. 72
- Magnetic moment: 1.61 μB per cell

abc: 8.903 8.903 8.903
angles: 123.92 76.26 132.81
Element x y z (fractional)
Ba 0.146 0.154 0.300
Ba 0.354 0.654 0.008
Ba 0.646 0.346 0.992
Ba 0.854 0.846 0.700
Y 0.250 0.750 0.500
Y 0.750 0.250 0.500
Sb 0.109 0.736 0.844
Sb 0.391 0.236 0.627
Sb 0.609 0.764 0.373
Sb 0.891 0.264 0.156


Record 8
## Ba4YSb (PBE)

Data for a geometry-optimized Ba4YSb structure.

- SG: F-43m, No. 216
- Magnetic moment: 1.96 μB per cell

abc: 7.312 7.312 7.312
angles: 60.00 60.00 60.00
Element x y z (fractional)
Ba 0.124 0.124 0.124
Ba 0.124 0.124 0.628
Ba 0.124 0.628 0.124
Ba 0.628 0.124 0.124
Y 0.500 0.500 0.500
Sb 0.750 0.750 0.750


Record 9
## Ba3YSb (PBE)

Data for a geometry-optimized Ba3YSb structure.

- SG: Pm-3m, No. 221
- Magnetic moment: 0.00 μB per cell

abc: 6.256 6.256 6.256
angles: 90.00 90.00 90.00
Element x y z (fractional)
Ba 0.000 0.000 0.500
Ba 0.000 0.500 0.000
Ba 0.500 0.000 0.000
Y 0.000 0.000 0.000
Sb 0.500 0.500 0.500


Record 10
## Ba2Y2Sb (PBE)

Data for a geometry-optimized Ba2Y2Sb structure.

- SG: P4/mbm, No. 127
- Magnetic moment: 0.00 μB per cell

abc: 8.221 8.221 5.918
angles: 90.00 90.00 90.00
Element x y z (fractional)
Ba 0.166 0.334 0.000
Ba 0.334 0.834 0.000
Ba 0.666 0.166 0.000
Ba 0.834 0.666 0.000
Y 0.152 0.652 0.500
Y 0.348 0.152 0.500
Y 0.652 0.848 0.500
Y 0.848 0.348 0.500
Sb 0.000 0.000 0.500
Sb 0.500 0.500 0.500


Record 11
## Ba3YSb (PBE)

Data for a geometry-optimized Ba3YSb structure.

- SG: Pm-3m, No. 221
- Magnetic moment: 2.12 μB per cell

abc: 6.668 6.668 6.668
angles: 90.00 90.00 90.00
Element x y z (fractional)
Ba 0.000 0.000 0.500
Ba 0.000 0.500 0.000
Ba 0.500 0.000 0.000
Y 0.500 0.500 0.500
Sb 0.000 0.000 0.000


Record 12
## BaYSb4 (PBE)

Data for a geometry-optimized BaYSb4 structure.

- SG: F-43m, No. 216
- Magnetic moment: 0.00 μB per cell

abc: 6.434 6.434 6.434
angles: 60.00 60.00 60.00
Element x y z (fractional)
Ba 0.000 0.000 0.000
Y 0.250 0.250 0.250
Sb 0.129 0.624 0.624
Sb 0.624 0.129 0.624
Sb 0.624 0.624 0.129
Sb 0.624 0.624 0.624


Record 13
## Ba5YSb4 (PBE)

Data for a geometry-optimized Ba5YSb4 structure.

- SG: C2/m, No. 12
- Magnetic moment: 1.02 μB per cell

abc: 11.468 11.468 9.115
angles: 113.34 113.34 24.84
Element x y z (fractional)
Ba 0.000 0.000 0.000
Ba 0.335 0.335 0.085
Ba 0.335 0.335 0.585
Ba 0.665 0.665 0.415
Ba 0.665 0.665 0.915
Y 0.000 0.000 0.500
Sb 0.191 0.191 0.691
Sb 0.500 0.500 0.275
Sb 0.500 0.500 0.725
Sb 0.809 0.809 0.309


Record 14
## BaY3Sb (PBE)

Data for a geometry-optimized BaY3Sb structure.

- SG: Pm-3m, No. 221
- Magnetic moment: 0.00 μB per cell

abc: 5.635 5.635 5.635
angles: 90.00 90.00 90.00
Element x y z (fractional)
Ba 0.000 0.000 0.000
Y 0.000 0.000 0.500
Y 0.000 0.500 0.000
Y 0.500 0.000 0.000
Sb 0.500 0.500 0.500


Record 15
## Ba2YSb2 (PBE)

Data for a geometry-optimized Ba2YSb2 structure.

- SG: P4/mbm, No. 127
- Magnetic moment: 1.94 μB per cell

abc: 8.738 8.738 4.940
angles: 90.00 90.00 90.00
Element x y z (fractional)
Ba 0.142 0.358 0.000
Ba 0.358 0.858 0.000
Ba 0.642 0.142 0.000
Ba 0.858 0.642 0.000
Y 0.000 0.000 0.500
Y 0.500 0.500 0.500
Sb 0.169 0.669 0.500
Sb 0.331 0.169 0.500
Sb 0.669 0.831 0.500
Sb 0.831 0.331 0.500


Record 16
## BaY4Sb (PBE)

Data for a geometry-optimized BaY4Sb structure.

- SG: F-43m, No. 216
- Magnetic moment: 0.06 μB per cell

abc: 6.722 6.722 6.722
angles: 60.00 60.00 60.00
Element x y z (fractional)
Ba 0.000 0.000 0.000
Y 0.375 0.375 0.375
Y 0.375 0.375 0.875
Y 0.375 0.875 0.375
Y 0.875 0.375 0.375
Sb 0.750 0.750 0.750


Record 17
## BaY3Sb (PBE)

Data for a geometry-optimized BaY3Sb structure.

- SG: Pm-3m, No. 221
- Magnetic moment: 2.63 μB per cell

abc: 5.896 5.896 5.896
angles: 90.00 90.00 90.00
Element x y z (fractional)
Ba 0.000 0.000 0.000
Y 0.000 0.500 0.500
Y 0.500 0.000 0.500
Y 0.500 0.500 0.000
Sb 0.500 0.500 0.500


Record 18
## BaYZnSb2 (PBE)

Data for a geometry-optimized BaYZnSb2 structure.

- SG: P4/mmm, No. 123
- Magnetic moment: 0.28 μB per cell

abc: 5.456 5.456 5.468
angles: 90.00 90.00 90.00
Element x y z (fractional)
Ba 0.000 0.000 0.000
Y 0.500 0.500 0.000
Zn 0.000 0.000 0.500
Sb 0.000 0.500 0.500
Sb 0.500 0.000 0.500


Record 19
## BaZnSb4 (PBE)

Data for a geometry-optimized BaZnSb4 structure.

- SG: F-43m, No. 216
- Magnetic moment: 0.00 μB per cell

abc: 6.435 6.435 6.435
angles: 60.00 60.00 60.00
Element x y z (fractional)
Ba 0.000 0.000 0.000
Zn 0.250 0.250 0.250
Sb 0.132 0.623 0.623
Sb 0.623 0.132 0.623
Sb 0.623 0.623 0.132
Sb 0.623 0.623 0.623


Record 20
## BaZnSb2 (PBE)

Data for a geometry-optimized BaZnSb2 structure.

- SG: I-42d, No. 122
- Magnetic moment: 0.00 μB per cell

abc: 5.853 5.853 17.630
angles: 90.00 90.00 90.00
Element x y z (fractional)
Ba 0.000 0.000 0.000
Ba 0.000 0.500 0.250
Ba 0.500 0.000 0.750
Ba 0.500 0.500 0.500
Zn 0.000 0.000 0.500
Zn 0.000 0.500 0.750
Zn 0.500 0.000 0.250
Zn 0.500 0.500 0.000
Sb 0.079 0.250 0.625
Sb 0.250 0.579 0.875
Sb 0.250 0.921 0.375
Sb 0.421 0.250 0.125
Sb 0.579 0.750 0.125
Sb 0.750 0.079 0.375
Sb 0.750 0.421 0.875
Sb 0.921 0.750 0.625


Raw formation energy (kcal/mol of atoms)
38.80; 7.50; 15.39; 12.93; 0.98; 8.63; -21.60; 7.09; 11.26; -4.92; -0.25; -6.54; -20.07; 22.79; -20.51; 4.67; -1.07; 2.07; -4.47; -9.03